This record from the Alexandria database describes crystalline Ce4NiRu at its relaxed geometry. The functional is PBE-GGA.

a b c (Å): 7.6628 7.6628 7.6628
angles (deg): 107.14 107.14 114.24
Element x y z (fractional)
Ce 0.1990 0.0000 0.1990
Ce 0.2533 0.5500 0.2966
Ce 0.2533 0.9567 0.7034
Ce 0.3000 0.5033 0.7966
Ce 0.7067 0.5033 0.2034
Ce 0.7500 0.0510 0.3010
Ce 0.7500 0.4490 0.6990
Ce 0.8010 0.0000 0.8010
Ni 0.0035 0.5035 0.5000
Ni 0.2535 0.2535 0.0000
Ru 0.4977 0.9977 0.5000
Ru 0.7477 0.7477 0.0000

energy of formation from the pure elements: -0.065 eV per atom
crystal system: tetragonal
raw total energy: -6.53 eV/atom